DFT (PBE-GGA) results for crystalline BaYBe2 at its relaxed geometry.

Calculated values
polymorph energy (0 for the lowest one): 298 meV per atom
energy of formation from the pure elements: 52.1 kJ/mol of atoms
volume: 24.81 A^3/atom

Geometry as CIF:
```
data_BaYBe2
_space_group_name_H-M_alt 'F m -3 m'
_space_group_IT_number 225
_space_group_name_Hall '-F 4 2 3'
_cell_length_a 7.349
_cell_length_b 7.349
_cell_length_c 7.349
_cell_angle_alpha 90.00
_cell_angle_beta 90.00
_cell_angle_gamma 90.00
loop_
_atom_site_label
_atom_site_type_symbol
_atom_site_fract_x
_atom_site_fract_y
_atom_site_fract_z
Ba1 Ba 0.000 0.000 0.000
Y1 Y 0.000 0.000 0.500
Be1 Be 0.250 0.250 0.250
```

***

DFT (PBE-GGA) results for crystalline Ba3YBe at its relaxed geometry.

Calculated values
polymorph energy (0 for the lowest one): 559 meV per atom
energy of formation from the pure elements: 109.7 kJ/mol of atoms
volume: 54.23 A^3/atom

Geometry as CIF:
```
data_Ba3YBe
_space_group_name_H-M_alt 'P m -3 m'
_space_group_IT_number 221
_space_group_name_Hall '-P 4 2 3'
_cell_length_a 6.473
_cell_length_b 6.473
_cell_length_c 6.473
_cell_angle_alpha 90.00
_cell_angle_beta 90.00
_cell_angle_gamma 90.00
loop_
_atom_site_label
_atom_site_type_symbol
_atom_site_fract_x
_atom_site_fract_y
_atom_site_fract_z
Ba1 Ba 0.000 0.000 0.500
Y1 Y 0.000 0.000 0.000
Be1 Be 0.500 0.500 0.500
```

***

DFT (PBE-GGA) results for crystalline BaYBe at its relaxed geometry.

Calculated values
polymorph energy (0 for the lowest one): 895 meV per atom
energy of formation from the pure elements: 115.0 kJ/mol of atoms
volume: 31.18 A^3/atom

Geometry as CIF:
```
data_BaYBe
_space_group_name_H-M_alt 'F -4 3 m'
_space_group_IT_number 216
_space_group_name_Hall 'F -4 2 3'
_cell_length_a 7.206
_cell_length_b 7.206
_cell_length_c 7.206
_cell_angle_alpha 90.00
_cell_angle_beta 90.00
_cell_angle_gamma 90.00
loop_
_atom_site_label
_atom_site_type_symbol
_atom_site_fract_x
_atom_site_fract_y
_atom_site_fract_z
Ba1 Ba 0.000 0.000 0.000
Y1 Y 0.250 0.250 0.750
Be1 Be 0.250 0.250 0.250
```

***

DFT (PBE-GGA) results for crystalline Ba2YBe at its relaxed geometry.

Calculated values
energy of formation from the pure elements: 36.0 kJ/mol of atoms
volume: 37.82 A^3/atom

Geometry as CIF:
```
data_Ba2YBe
_space_group_name_H-M_alt 'C 1 m 1'
_space_group_IT_number 8
_cell_length_a 14.288
_cell_length_b 3.853
_cell_length_c 6.070
_cell_angle_alpha 90.00
_cell_angle_beta 115.14
_cell_angle_gamma 90.00
loop_
_space_group_symop_operation_xyz
'x,y,z'
'x,-y,z'
'x+1/2,y+1/2,z'
'x+1/2,-y+1/2,z'
loop_
_atom_site_label
_atom_site_type_symbol
_atom_site_fract_x
_atom_site_fract_y
_atom_site_fract_z
Ba1 Ba 0.000 0.000 0.000
Ba2 Ba 0.194 0.000 0.694
Y1 Y 0.317 0.500 0.317
Be1 Be 0.476 0.000 0.477
```

***

DFT (PBE-GGA) results for crystalline Ba2YBe at its relaxed geometry.

Calculated values
energy of formation from the pure elements: 61.4 kJ/mol of atoms
volume: 34.83 A^3/atom

Geometry as CIF:
```
data_Ba2YBe
_space_group_name_H-M_alt 'P m m m'
_space_group_IT_number 47
_cell_length_a 4.525
_cell_length_b 5.369
_cell_length_c 5.734
_cell_angle_alpha 90.00
_cell_angle_beta 90.00
_cell_angle_gamma 90.00
loop_
_space_group_symop_operation_xyz
'x,y,z'
'-x,-y,-z'
'-x,-y,z'
'x,y,-z'
'x,-y,-z'
'-x,y,z'
'-x,y,-z'
'x,-y,z'
loop_
_atom_site_label
_atom_site_type_symbol
_atom_site_fract_x
_atom_site_fract_y
_atom_site_fract_z
Ba1 Ba 0.000 0.000 0.000
Ba2 Ba 0.500 0.500 0.000
Y1 Y 0.000 0.500 0.500
Be1 Be 0.500 0.000 0.500
```

***

DFT (PBE-GGA) results for crystalline BaYBe2 at its relaxed geometry.

Calculated values
polymorph energy (0 for the lowest one): 73 meV per atom
energy of formation from the pure elements: 30.5 kJ/mol of atoms
volume: 26.70 A^3/atom

Geometry as CIF:
```
data_BaYBe2
_space_group_name_H-M_alt 'A m m 2'
_space_group_IT_number 38
_cell_length_a 4.016
_cell_length_b 3.648
_cell_length_c 14.579
_cell_angle_alpha 90.00
_cell_angle_beta 90.00
_cell_angle_gamma 90.00
loop_
_space_group_symop_operation_xyz
'x,y,z'
'-x,-y,z'
'-x,y,z'
'x,-y,z'
'x,y+1/2,z+1/2'
'-x,-y+1/2,z+1/2'
'-x,y+1/2,z+1/2'
'x,-y+1/2,z+1/2'
loop_
_atom_site_label
_atom_site_type_symbol
_atom_site_fract_x
_atom_site_fract_y
_atom_site_fract_z
Ba1 Ba 0.000 0.000 0.000
Y1 Y 0.500 0.000 0.273
Be1 Be 0.000 0.000 0.691
Be2 Be 0.500 0.000 0.636
```

***

DFT (PBE-GGA) results for crystalline Ba2YBe at its relaxed geometry.

Calculated values
energy of formation from the pure elements: 33.1 kJ/mol of atoms
volume: 39.23 A^3/atom

Geometry as CIF:
```
data_Ba2YBe
_space_group_name_H-M_alt 'I m m m'
_space_group_IT_number 71
_space_group_name_Hall '-I 2 2'
_cell_length_a 3.689
_cell_length_b 4.537
_cell_length_c 18.751
_cell_angle_alpha 90.00
_cell_angle_beta 90.00
_cell_angle_gamma 90.00
loop_
_atom_site_label
_atom_site_type_symbol
_atom_site_fract_x
_atom_site_fract_y
_atom_site_fract_z
Ba1 Ba 0.000 0.000 0.153
Y1 Y 0.000 0.500 0.000
Be1 Be 0.000 0.500 0.500
```

***

DFT (PBE-GGA) results for crystalline Ba2YBe at its relaxed geometry.

Calculated values
energy of formation from the pure elements: 33.5 kJ/mol of atoms
volume: 42.65 A^3/atom

Geometry as CIF:
```
data_Ba2YBe
_space_group_name_H-M_alt 'R 3 m'
_space_group_IT_number 160
_space_group_name_Hall 'R 3 -2"'
_cell_length_a 4.6883
_cell_length_b 4.6883
_cell_length_c 26.8893
_cell_angle_alpha 90.00
_cell_angle_beta 90.00
_cell_angle_gamma 120.00
loop_
_atom_site_label
_atom_site_type_symbol
_atom_site_fract_x
_atom_site_fract_y
_atom_site_fract_z
Ba1 Ba 0.0000 0.0000 0.0000
Ba2 Ba 0.0000 0.0000 0.1890
Y1 Y 0.0000 0.0000 0.4276
Be1 Be 0.0000 0.0000 0.7622
```

***

DFT (PBE-GGA) results for crystalline BaYBe at its relaxed geometry.

Calculated values
polymorph energy (0 for the lowest one): 211 meV per atom
energy of formation from the pure elements: 49.0 kJ/mol of atoms
volume: 32.98 A^3/atom

Geometry as CIF:
```
data_BaYBe
_space_group_name_H-M_alt 'P 3 m 1'
_space_group_IT_number 156
_cell_length_a 3.8590
_cell_length_b 3.8590
_cell_length_c 7.6728
_cell_angle_alpha 90.00
_cell_angle_beta 90.00
_cell_angle_gamma 120.00
loop_
_space_group_symop_operation_xyz
'x,y,z'
'-y,x-y,z'
'-x+y,-x,z'
'-y,-x,z'
'-x+y,y,z'
'x,x-y,z'
loop_
_atom_site_label
_atom_site_type_symbol
_atom_site_fract_x
_atom_site_fract_y
_atom_site_fract_z
Ba1 Ba 0.0000 0.0000 0.0000
Y1 Y 0.3333 0.6667 0.5319
Be1 Be 0.6667 0.3333 0.3056
```

***

DFT (PBE-GGA) results for crystalline BaYBe2 at its relaxed geometry.

Calculated values
polymorph energy (0 for the lowest one): 581 meV per atom
energy of formation from the pure elements: 79.5 kJ/mol of atoms
volume: 22.63 A^3/atom

Geometry as CIF:
```
data_BaYBe2
_space_group_name_H-M_alt 'F -4 3 m'
_space_group_IT_number 216
_space_group_name_Hall 'F -4 2 3'
_cell_length_a 7.127
_cell_length_b 7.127
_cell_length_c 7.127
_cell_angle_alpha 90.00
_cell_angle_beta 90.00
_cell_angle_gamma 90.00
loop_
_atom_site_label
_atom_site_type_symbol
_atom_site_fract_x
_atom_site_fract_y
_atom_site_fract_z
Ba1 Ba 0.000 0.000 0.000
Y1 Y 0.250 0.250 0.250
Be1 Be 0.000 0.000 0.500
Be2 Be 0.250 0.250 0.750
```

***

DFT (PBE-GGA) results for crystalline Ba3YBe at its relaxed geometry.

Calculated values
polymorph energy (0 for the lowest one): 0 meV per atom
energy of formation from the pure elements: 55.8 kJ/mol of atoms
volume: 48.32 A^3/atom

Geometry as CIF:
```
data_Ba3YBe
_space_group_name_H-M_alt 'P m -3 m'
_space_group_IT_number 221
_space_group_name_Hall '-P 4 2 3'
_cell_length_a 6.228
_cell_length_b 6.228
_cell_length_c 6.228
_cell_angle_alpha 90.00
_cell_angle_beta 90.00
_cell_angle_gamma 90.00
loop_
_atom_site_label
_atom_site_type_symbol
_atom_site_fract_x
_atom_site_fract_y
_atom_site_fract_z
Ba1 Ba 0.000 0.000 0.500
Y1 Y 0.500 0.500 0.500
Be1 Be 0.000 0.000 0.000
```

***

DFT (PBE-GGA) results for crystalline BaYBe2 at its relaxed geometry.

Calculated values
polymorph energy (0 for the lowest one): 248 meV per atom
energy of formation from the pure elements: 47.4 kJ/mol of atoms
volume: 24.17 A^3/atom

Geometry as CIF:
```
data_BaYBe2
_space_group_name_H-M_alt 'P 4/m m m'
_space_group_IT_number 123
_space_group_name_Hall '-P 4 2'
_cell_length_a 5.233
_cell_length_b 5.233
_cell_length_c 3.531
_cell_angle_alpha 90.00
_cell_angle_beta 90.00
_cell_angle_gamma 90.00
loop_
_atom_site_label
_atom_site_type_symbol
_atom_site_fract_x
_atom_site_fract_y
_atom_site_fract_z
Ba1 Ba 0.000 0.000 0.000
Y1 Y 0.500 0.500 0.000
Be1 Be 0.000 0.500 0.500
```

***

DFT (PBE-GGA) results for crystalline Ba2YBe at its relaxed geometry.

Calculated values
energy of formation from the pure elements: 57.1 kJ/mol of atoms
volume: 38.56 A^3/atom

Geometry as CIF:
```
data_Ba2YBe
_space_group_name_H-M_alt 'R -3 m'
_space_group_IT_number 166
_space_group_name_Hall '-R 3 2"'
_cell_length_a 3.9612
_cell_length_b 3.9612
_cell_length_c 34.0526
_cell_angle_alpha 90.00
_cell_angle_beta 90.00
_cell_angle_gamma 120.00
loop_
_atom_site_label
_atom_site_type_symbol
_atom_site_fract_x
_atom_site_fract_y
_atom_site_fract_z
Ba1 Ba 0.0000 0.0000 0.2356
Y1 Y 0.0000 0.0000 0.0000
Be1 Be 0.0000 0.0000 0.5000
```

***

DFT (PBE-GGA) results for crystalline BaYBe2 at its relaxed geometry.

Calculated values
polymorph energy (0 for the lowest one): 629 meV per atom
energy of formation from the pure elements: 84.1 kJ/mol of atoms
volume: 29.03 A^3/atom

Geometry as CIF:
```
data_BaYBe2
_space_group_name_H-M_alt 'I -4 2 d'
_space_group_IT_number 122
_space_group_name_Hall 'I -4 2bw'
_cell_length_a 7.956
_cell_length_b 7.956
_cell_length_c 7.337
_cell_angle_alpha 90.00
_cell_angle_beta 90.00
_cell_angle_gamma 90.00
loop_
_atom_site_label
_atom_site_type_symbol
_atom_site_fract_x
_atom_site_fract_y
_atom_site_fract_z
Ba1 Ba 0.000 0.000 0.000
Y1 Y 0.000 0.000 0.500
Be1 Be 0.207 0.250 0.625
```

***

DFT (PBE-GGA) results for crystalline BaBe2Zn at its relaxed geometry.

Calculated values
energy of formation from the pure elements: 48.4 kJ/mol of atoms
volume: 18.44 A^3/atom

Geometry as CIF:
```
data_BaBe2Zn
_space_group_name_H-M_alt 'P m m 2'
_space_group_IT_number 25
_cell_length_a 3.015
_cell_length_b 3.163
_cell_length_c 7.735
_cell_angle_alpha 90.00
_cell_angle_beta 90.00
_cell_angle_gamma 90.00
loop_
_space_group_symop_operation_xyz
'x,y,z'
'-x,-y,z'
'-x,y,z'
'x,-y,z'
loop_
_atom_site_label
_atom_site_type_symbol
_atom_site_fract_x
_atom_site_fract_y
_atom_site_fract_z
Ba1 Ba 0.000 0.000 0.000
Be1 Be 0.000 0.000 0.553
Be2 Be 0.500 0.500 0.667
Zn1 Zn 0.500 0.500 0.354
```